No. 1
Li2Pu3Pt4 after structural relaxation, computed with PBE.

Results
Crystal system = trigonal
Uncorrected energy = -8.476 eV per atom
SG = P-3m1, No. 164
Magnetic moment = 5.6 μB/cell

Unit cell a=4.5668 b=4.5671 c=9.4184 alpha=89.99 beta=90.00 gamma=120.00
Closest atoms and distances in Å follow each position.
Sites, in units of the cell vectors:
Pt  0.3333  0.6667  0.8700  3 Li 2.72-2.73, 4 Pu 2.88-2.91
Pt  0.6667  0.3333  0.1300  3 Li 2.72-2.73, 4 Pu 2.88-2.91
Pt  0.0000  0.0000  0.6822  3 Li 2.85, 4 Pu 2.86-2.99, 3 Pt 3.17-3.18
Pt  0.0000  0.0000  0.3178  3 Li 2.85, 4 Pu 2.86-2.99, 3 Pt 3.17-3.18
Pu  0.6667  0.3333  0.4353  4 Pt 2.86-2.88, 3 Pu 2.90
Pu  0.3333  0.6667  0.5647  4 Pt 2.86-2.88, 3 Pu 2.90
Pu  0.0000  0.0000  0.0000  8 Pt 2.91-2.99
Li  0.6667  0.3333  0.7970  6 Pt 2.72-2.85
Li  0.3333  0.6667  0.2030  6 Pt 2.72-2.85

=====

No. 2
LaBe2Bi after structural relaxation, computed with PBE.

Results
Crystal system = cubic
Uncorrected energy = -3.764 eV per atom
SG = Fm-3m, No. 225
Polymorph energy (0 for the lowest one) = 0.106 eV per atom
Magnetic moment = 0.0 μB/cell

Unit cell a=4.9168 b=4.9168 c=4.9168 alpha=60.00 beta=60.00 gamma=60.00
Closest atoms and distances in Å follow each position.
Sites, in units of the cell vectors:
La  0.0000  0.0000  0.0000  8 Be 3.01
Bi  0.5000  0.5000  0.5000  8 Be 3.01
Be  0.7500  0.7500  0.7500  4 La 3.01, 4 Bi 3.01
Be  0.2500  0.2500  0.2500  4 La 3.01, 4 Bi 3.01

=====

No. 3
Cu4SiCl after structural relaxation, computed with PBE.

Results
Crystal system = cubic
Uncorrected energy = -3.582 eV per atom
E_form (uncorrected) = 2.2 eV per formula unit
SG = F-43m, No. 216
Magnetic moment = 0.0 μB/cell

Unit cell a=4.9673 b=4.9673 c=4.9673 alpha=60.00 beta=60.00 gamma=60.00
Closest atoms and distances in Å follow each position.
Sites, in units of the cell vectors:
Cl  0.0000  0.0000  0.0000  12 Cu 2.91, 4 Si 3.04
Cu  0.3756  0.8733  0.3756  6 Cu 2.47-2.49
Cu  0.8733  0.3756  0.3756  6 Cu 2.47-2.49
Cu  0.3756  0.3756  0.3756  6 Cu 2.47-2.49
Cu  0.3756  0.3756  0.8733  6 Cu 2.47-2.49
Si  0.7500  0.7500  0.7500  12 Cu 2.91, 4 Cl 3.04

=====

No. 4
Ta2CoP after structural relaxation, computed with PBE.

Results
Crystal system = trigonal
Uncorrected energy = -9.223 eV per atom
SG = R-3m, No. 166
Magnetic moment = 0.0 μB/cell

Unit cell a=6.3823 b=6.3823 c=6.3823 alpha=31.66 beta=31.66 gamma=31.66
Closest atoms and distances in Å follow each position.
Sites, in units of the cell vectors:
Ta  0.9955  0.9955  0.9955  3 Co 2.47, 3 P 2.57
Ta  0.5045  0.5045  0.5045  3 Co 2.47, 3 P 2.57
P  0.7500  0.7500  0.7500  6 Ta 2.57
Co  0.2500  0.2500  0.2500  6 Ta 2.47